No. 1
# Li4SmSb2

A relaxed Li4SmSb2 crystal (PBE, Alexandria via LeMat-Bulk).

a b c (Å): 4.5697 4.5697 8.5759
angles (deg): 74.55 74.55 60.00
Element x y z (fractional)
Li  0.8615  0.8615  0.4156
Li  0.1385  0.1385  0.5844
Li  0.5711  0.5711  0.2867
Li  0.4289  0.4289  0.7133
Sm  0.0000  0.0000  0.0000
Sb  0.7457  0.7457  0.7629
Sb  0.2543  0.2543  0.2371

Computed properties:
Uncorrected energy (eV/cell): -25.75
D(E_F) (states/eV/atom): 0.230
E_form (uncorrected) (eV per atom): -0.733
Calculated density (g/cm3): 4.7

***

No. 2
# In5Re4

A relaxed In5Re4 crystal (PBE, Alexandria via LeMat-Bulk).

a b c (Å): 8.2723 8.2723 5.5767
angles (deg): 90.00 90.00 120.00
Site moments in Bohr magnetons follow the coordinates.
Element x y z (fractional)
Re  0.0000  0.0000  0.0000  0.10
Re  0.0000  0.0000  0.5000  0.10
Re  0.0000  0.3654  0.2500  0.49
Re  0.6346  0.6346  0.2500  0.49
Re  0.3654  0.0000  0.2500  0.49
Re  0.0000  0.6346  0.7500  0.49
Re  0.3654  0.3654  0.7500  0.49
Re  0.6346  0.0000  0.7500  0.49
In  0.0000  0.7026  0.2500  -0.01
In  0.2974  0.2974  0.2500  -0.01
In  0.7026  0.0000  0.2500  -0.01
In  0.0000  0.2974  0.7500  -0.01
In  0.7026  0.7026  0.7500  -0.01
In  0.2974  0.0000  0.7500  -0.01
In  0.6667  0.3333  0.0000  -0.02
In  0.3333  0.6667  0.5000  -0.02
In  0.3333  0.6667  0.0000  -0.02
In  0.6667  0.3333  0.5000  -0.02

Computed properties:
Uncorrected energy (eV/cell): -110.83
Calculated formation energy (eV/atom): 0.896
Energy relative to the lowest polymorph listed for this composition (eV per atom): 0.3814
D(E_F) (states/eV/atom): 1.092
Calculated density (g/cm3): 13.3

***

No. 3
# TiInCl3

A relaxed TiInCl3 crystal (PBE, Alexandria via LeMat-Bulk).

a b c (Å): 5.0225 5.0225 5.0225
angles (deg): 90.00 90.00 90.00
Site moments in Bohr magnetons follow the coordinates.
Element x y z (fractional)
Cl  0.0000  0.5000  0.0000  -0.01
Cl  0.0000  0.0000  0.5000  -0.02
Cl  0.5000  0.0000  0.0000  0.01
In  0.5000  0.5000  0.5000  0.01
Ti  0.0000  0.0000  0.0000  1.62

Computed properties:
Uncorrected energy (eV/cell): -21.65
Energy relative to the lowest polymorph listed for this composition (eV per atom): 0.0958
D(E_F) (states/eV/atom): 0.726
E_form (uncorrected) (eV per atom): -1.095
Calculated density (g/cm3): 3.5

***

No. 4
# Pr8CoIr3Cl4

A relaxed Pr8CoIr3Cl4 crystal (PBE, Alexandria via LeMat-Bulk).

a b c (Å): 8.2530 8.9660 8.2521
angles (deg): 117.42 120.00 90.00
Element x y z (fractional)
Pr  0.2303  0.7023  0.9723
Pr  0.2303  0.7023  0.4606
Pr  0.2647  0.2944  0.5295
Pr  0.7420  0.7023  0.9723
Pr  0.2580  0.2977  0.0277
Pr  0.7353  0.7056  0.4705
Pr  0.7697  0.2977  0.5394
Pr  0.7697  0.2977  0.0277
Co  0.0000  0.5000  0.0000
Ir  0.5000  0.5000  0.0000
Ir  0.5000  0.5000  0.5000
Ir  0.0000  0.5000  0.5000
Cl  0.5000  0.0000  0.0000
Cl  0.5000  0.0000  0.5000
Cl  0.0000  0.0000  0.0000
Cl  0.0000  0.0000  0.5000

Computed properties:
Uncorrected energy (eV/cell): -96.68
D(E_F) (states/eV/atom): 0.350
E_form (uncorrected) (eV per atom): -1.085
Calculated density (g/cm3): 7.1

***

No. 5
# Ac3Si2

A relaxed Ac3Si2 crystal (PBE, Alexandria via LeMat-Bulk).

a b c (Å): 4.6511 6.5546 6.5546
angles (deg): 63.13 69.22 69.22
Element x y z (fractional)
Ac  0.0000  0.0000  0.0000
Ac  0.8024  0.6976  0.6976
Ac  0.1976  0.3024  0.3024
Si  0.5000  0.3188  0.6812
Si  0.5000  0.6812  0.3188

Computed properties:
Uncorrected energy (eV/cell): -25.46
Energy relative to the lowest polymorph listed for this composition (eV per atom): 0.0000
D(E_F) (states/eV/atom): 0.892
E_form (uncorrected) (eV per atom): -0.457
Calculated density (g/cm3): 7.6

***

No. 6
# LiCr2Ge2

A relaxed LiCr2Ge2 crystal (PBE, Alexandria via LeMat-Bulk).

a b c (Å): 3.5883 3.5883 6.3441
angles (deg): 73.57 73.57 90.00
Element x y z (fractional)
Cr  0.7500  0.2500  0.5000
Cr  0.2500  0.7500  0.5000
Ge  0.3949  0.3949  0.2101
Ge  0.6051  0.6051  0.7899
Li  0.0000  0.0000  0.0000

Computed properties:
Uncorrected energy (eV/cell): -30.12
Calculated formation energy (eV/atom): 0.056
Energy relative to the lowest polymorph listed for this composition (eV per atom): 0.0503
D(E_F) (states/eV/atom): 0.377
Calculated density (g/cm3): 5.7

***

No. 7
# Eu3DyH

A relaxed Eu3DyH crystal (PBE, Alexandria via LeMat-Bulk).

a b c (Å): 5.2776 5.2776 5.2776
angles (deg): 90.00 90.00 90.00
Site moments in Bohr magnetons follow the coordinates.
Element x y z (fractional)
Eu  0.0000  0.5000  0.0000  6.96
Eu  0.0000  0.0000  0.5000  6.96
Eu  0.5000  0.0000  0.0000  6.96
H  0.0000  0.0000  0.0000  -0.02
Dy  0.5000  0.5000  0.5000  0.34

Computed properties:
Uncorrected energy (eV/cell): -39.29
D(E_F) (states/eV/atom): 0.659
Calculated density (g/cm3): 7.0

***

No. 8
# PWI3

A relaxed PWI3 crystal (PBE, Alexandria via LeMat-Bulk).

a b c (Å): 5.4880 5.4880 5.4880
angles (deg): 90.00 90.00 90.00
Site moments in Bohr magnetons follow the coordinates.
Element x y z (fractional)
I  0.0000  0.5000  0.0000  0.01
I  0.0000  0.0000  0.5000  0.01
I  0.5000  0.0000  0.0000  0.01
P  0.0000  0.0000  0.0000  -0.01
W  0.5000  0.5000  0.5000  3.52

Computed properties:
Uncorrected energy (eV/cell): -15.73
Energy relative to the lowest polymorph listed for this composition (eV per atom): 0.2777
D(E_F) (states/eV/atom): 2.089
E_form (uncorrected) (eV per atom): 1.458
Calculated density (g/cm3): 6.0

***

No. 9
# LiCa2Os

A relaxed LiCa2Os crystal (PBE, Alexandria via LeMat-Bulk).

a b c (Å): 3.4537 3.4537 7.8719
angles (deg): 90.00 90.00 90.00
Site moments in Bohr magnetons follow the coordinates.
Element x y z (fractional)
Ca  0.0000  0.0000  0.9149  0.00
Ca  0.5000  0.5000  0.3286  0.05
Li  0.0000  0.0000  0.5702  0.01
Os  0.5000  0.5000  0.6863  -0.14

Computed properties:
Uncorrected energy (eV/cell): -15.43
Calculated formation energy (eV/atom): 0.430
D(E_F) (states/eV/atom): 1.085
Calculated density (g/cm3): 4.9

***

No. 10
# Na2CeHg8

A relaxed Na2CeHg8 crystal (PBE, Alexandria via LeMat-Bulk).

a b c (Å): 5.9844 6.6276 8.6872
angles (deg): 112.65 110.40 89.38
Site moments in Bohr magnetons follow the coordinates.
Element x y z (fractional)
Na  0.6897  0.6897  0.3793  0.00
Na  0.3103  0.3103  0.6207  0.00
Ce  0.5000  0.0000  0.0000  1.05
Hg  0.2064  0.3298  0.2355  0.00
Hg  0.9709  0.0943  0.7645  0.00
Hg  0.7363  0.4309  0.0000  0.01
Hg  0.7211  0.2211  0.4423  0.00
Hg  0.2789  0.7789  0.5577  0.00
Hg  0.2637  0.5691  0.0000  0.01
Hg  0.0291  0.9057  0.2355  0.00
Hg  0.7936  0.6702  0.7645  0.00

Computed properties:
Uncorrected energy (eV/cell): -12.74
Calculated formation energy (eV/atom): -0.160
D(E_F) (states/eV/atom): 1.241
Calculated density (g/cm3): 10.1

***

No. 11
# SrMg6Mn

A relaxed SrMg6Mn crystal (PBE, Alexandria via LeMat-Bulk).

a b c (Å): 6.9740 6.9740 5.1289
angles (deg): 90.00 90.00 125.69
Site moments in Bohr magnetons follow the coordinates.
Element x y z (fractional)
Sr  0.6910  0.3090  0.0000  -0.01
Mg  0.1916  0.3244  0.0000  -0.01
Mg  0.6756  0.8084  0.0000  -0.01
Mg  0.3178  0.1671  0.5000  -0.01
Mg  0.8329  0.6822  0.5000  -0.01
Mg  0.3006  0.6994  0.5000  -0.01
Mg  0.8606  0.1394  0.5000  0.01
Mn  0.1299  0.8701  0.0000  3.83

Computed properties:
Uncorrected energy (eV/cell): -18.99
Calculated formation energy (eV/atom): 0.179
D(E_F) (states/eV/atom): 0.633
Calculated density (g/cm3): 2.4

***

No. 12
# PrUTe2

A relaxed PrUTe2 crystal (PBE, Alexandria via LeMat-Bulk).

a b c (Å): 4.0924 4.0924 10.4892
angles (deg): 78.75 78.75 60.00
Site moments in Bohr magnetons follow the coordinates.
Element x y z (fractional)
Pr  0.0000  0.0000  0.0000  0.05
Te  0.1022  0.1022  0.6935  -0.07
Te  0.8978  0.8978  0.3065  -0.07
U  0.5000  0.5000  0.5000  2.64

Computed properties:
Uncorrected energy (eV/cell): -24.12
Energy relative to the lowest polymorph listed for this composition (eV per atom): 0.4124
D(E_F) (states/eV/atom): 1.232
E_form (uncorrected) (eV per atom): -0.443
Calculated density (g/cm3): 7.1

***

| no. | total magnetic moment (μB/f.u.) |
| --- | --- |
| 1 | 0.000 |
| 2 | 1.698 |
| 3 | 2.000 |
| 4 | 0.000 |
| 5 | 0.000 |
| 6 | 0.000 |
| 7 | 22.533 |
| 8 | 4.962 |
| 9 | 0.098 |
| 10 | 1.324 |
| 11 | 4.004 |
| 12 | 3.072 |